The following is a DFT calculation (GGA-PBE) of SrCaPrHo after structural relaxation.

a = 6.0360 Å, b = 6.0360 Å, c = 6.0360 Å
α = 60.00°, β = 60.00°, γ = 60.00°
Element x y z (fractional)
Sr (0.0000, 0.0000, 0.0000)
Ca (0.2500, 0.2500, 0.2500)
Pr (0.5000, 0.5000, 0.5000)
Ho (0.7500, 0.7500, 0.7500)

The value obtained for the formation energy is 0.173 eV per atom. As for the space-group type: F-43m (216). Its total magnetization is 0.00 μB per cell.

---

The following is a DFT calculation (GGA-PBE) of Ba5SrAg4 after structural relaxation.

a = 9.1861 Å, b = 9.1861 Å, c = 8.1859 Å
α = 90.76°, β = 90.76°, γ = 36.29°
Element x y z (fractional)
Ba (0.0000, 0.0000, 0.0000)
Ba (0.3347, 0.3347, 0.4961)
Ba (0.3365, 0.3365, 0.9974)
Ba (0.6635, 0.6635, 0.0026)
Ba (0.6653, 0.6653, 0.5039)
Sr (0.0000, 0.0000, 0.5000)
Ag (0.1667, 0.1667, 0.7492)
Ag (0.4981, 0.4981, 0.7372)
Ag (0.5019, 0.5019, 0.2628)
Ag (0.8333, 0.8333, 0.2508)

The value obtained for the formation energy is -0.165 eV per atom. As for the space-group type: C2/m (12). Its total magnetization is 0.00 μB per cell.

---

The following is a DFT calculation (GGA-PBE) of Ce12Sb5C2 after structural relaxation.

a = 9.7355 Å, b = 9.7355 Å, c = 9.3002 Å
α = 103.04°, β = 103.04°, γ = 42.30°
Element x y z (fractional)
Ce (0.9996, 0.9996, 0.1736)
Ce (0.0004, 0.0004, 0.8264)
Ce (0.0381, 0.6437, 0.4120)
Ce (0.0571, 0.6527, 0.9276)
Ce (0.3473, 0.9429, 0.0724)
Ce (0.3563, 0.9619, 0.5880)
Ce (0.4971, 0.4971, 0.1900)
Ce (0.5029, 0.5029, 0.8100)
Ce (0.6437, 0.0381, 0.4120)
Ce (0.6527, 0.0571, 0.9276)
Ce (0.9429, 0.3473, 0.0724)
Ce (0.9619, 0.3563, 0.5880)
Sb (0.0000, 0.0000, 0.5000)
Sb (0.3140, 0.3140, 0.1532)
Sb (0.3234, 0.3234, 0.6579)
Sb (0.6766, 0.6766, 0.3421)
Sb (0.6860, 0.6860, 0.8468)
C (0.2651, 0.7349, 0.0000)
C (0.7349, 0.2651, 0.0000)

As for the space-group type: C2/m (12). Its total magnetization is 9.50 μB per cell. Its uncorrected formation energy is -0.428 eV/atom.

---

The following is a DFT calculation (GGA-PBE) of Be2AlRh after structural relaxation.

a = 4.4826 Å, b = 4.4826 Å, c = 4.4826 Å
α = 134.47°, β = 134.47°, γ = 66.35°
Element x y z (fractional)
Be (0.0000, 0.0000, 0.0000)
Be (0.7500, 0.2500, 0.5000)
Al (0.5000, 0.5000, 0.0000)
Rh (0.2500, 0.7500, 0.5000)

The value obtained for the formation energy is -0.484 eV per atom. As for the space-group type: I-4m2 (119). Its total magnetization is 0.00 μB per cell.

---

The following is a DFT calculation (GGA-PBE) of HfSbTe2N after structural relaxation.

a = 5.5472 Å, b = 5.5472 Å, c = 5.5856 Å
α = 90.00°, β = 90.00°, γ = 90.00°
Element x y z (fractional)
Hf (0.0000, 0.0000, 0.0000)
Sb (0.0000, 0.0000, 0.5000)
Te (0.0000, 0.5000, 0.0000)
Te (0.5000, 0.0000, 0.0000)
N (0.5000, 0.5000, 0.5000)

As for the space-group type: P4/mmm (123). Its total magnetization is 2.46 μB per cell. Its uncorrected formation energy is 0.986 eV/atom.

---

The following is a DFT calculation (GGA-PBE) of CaTaPO2 after structural relaxation.

a = 4.0250 Å, b = 4.0250 Å, c = 5.4085 Å
α = 90.00°, β = 90.00°, γ = 90.00°
Element x y z (fractional)
Ca (0.0000, 0.0000, 0.0000)
Ta (0.5000, 0.5000, 0.5000)
P (0.0000, 0.0000, 0.5000)
O (0.0000, 0.5000, 0.0000)
O (0.5000, 0.0000, 0.0000)

As for the space-group type: P4/mmm (123). Its total magnetization is 0.34 μB per cell. Its uncorrected formation energy is 0.113 eV/atom.

---

The following is a DFT calculation (GGA-PBE) of ZnTe2Pt after structural relaxation.

a = 4.9373 Å, b = 4.9373 Å, c = 6.7972 Å
α = 107.84°, β = 107.84°, γ = 47.65°
Element x y z (fractional)
Zn (0.0000, 0.0000, 0.0000)
Te (0.6930, 0.6930, 0.7584)
Te (0.8844, 0.8844, 0.3146)
Pt (0.2824, 0.2824, 0.0391)

As for the space-group type: Cm (8). Its total magnetization is 0.00 μB per cell. Its uncorrected formation energy is -0.256 eV/atom.

---

The following is a DFT calculation (GGA-PBE) of Pa6Ni6Hg after structural relaxation.

a = 7.2947 Å, b = 7.2947 Å, c = 7.2947 Å
α = 137.45°, β = 100.48°, γ = 94.67°
Element x y z (fractional)
Pa (0.1609, 0.5000, 0.6609)
Pa (0.1733, 0.1733, 0.0000)
Pa (0.3191, 0.0000, 0.3191)
Pa (0.6809, 0.0000, 0.6809)
Pa (0.8267, 0.8267, 0.0000)
Pa (0.8391, 0.5000, 0.3391)
Ni (0.0000, 0.0000, 0.5000)
Ni (0.0000, 0.5000, 0.0000)
Ni (0.2585, 0.7585, 0.5000)
Ni (0.5000, 0.0000, 0.0000)
Ni (0.5000, 0.5000, 0.5000)
Ni (0.7415, 0.2415, 0.5000)
Hg (0.5000, 0.5000, 0.0000)

The value obtained for the formation energy is -0.184 eV per atom. As for the space-group type: Immm (71). Its total magnetization is 0.00 μB per cell.

---

The following is a DFT calculation (GGA-PBE) of LiHgSe2 after structural relaxation.

a = 11.1484 Å, b = 11.1484 Å, c = 11.1484 Å
α = 15.73°, β = 15.73°, γ = 15.73°
Element x y z (fractional)
Li (0.0000, 0.0000, 0.0000)
Hg (0.5000, 0.5000, 0.5000)
Se (0.2720, 0.2720, 0.2720)
Se (0.7280, 0.7280, 0.7280)

As for the space-group type: R-3m (166). Its total magnetization is 0.27 μB per cell. Its uncorrected formation energy is -0.199 eV/atom.

---

The following is a DFT calculation (GGA-PBE) of PrPu2Au8 after structural relaxation.

a = 8.6719 Å, b = 8.6719 Å, c = 5.2484 Å
α = 107.30°, β = 107.30°, γ = 125.38°
Element x y z (fractional)
Pr (0.0000, 0.0000, 0.0000)
Pu (0.3149, 0.6851, 0.5000)
Pu (0.6851, 0.3149, 0.5000)
Au (0.0966, 0.3614, 0.7361)
Au (0.2025, 0.7975, 0.0000)
Au (0.3614, 0.0966, 0.7361)
Au (0.4955, 0.4955, 0.7450)
Au (0.5045, 0.5045, 0.2550)
Au (0.6386, 0.9034, 0.2639)
Au (0.7975, 0.2025, 0.0000)
Au (0.9034, 0.6386, 0.2639)

The value obtained for the formation energy is -0.485 eV per atom. As for the space-group type: C2/m (12). Its total magnetization is 11.00 μB per cell.

---

The following is a DFT calculation (GGA-PBE) of TlMoPOsRu after structural relaxation.

a = 4.2939 Å, b = 4.2939 Å, c = 6.0163 Å
α = 95.31°, β = 95.31°, γ = 65.27°
Element x y z (fractional)
Tl (0.0000, 0.0000, 0.0000)
Mo (0.0134, 0.0134, 0.5177)
P (0.5765, 0.5765, 0.6377)
Os (0.3173, 0.3173, 0.3567)
Ru (0.6875, 0.6875, 0.2877)

The value obtained for the formation energy is 0.416 eV per atom. As for the space-group type: Cm (8). Its total magnetization is 0.00 μB per cell.

---

The following is a DFT calculation (GGA-PBE) of La2AgN after structural relaxation.

a = 8.2021 Å, b = 8.2021 Å, c = 8.2021 Å
α = 26.19°, β = 26.19°, γ = 26.19°
Element x y z (fractional)
La (0.0000, 0.0000, 0.0000)
La (0.2127, 0.2127, 0.2127)
Ag (0.7721, 0.7721, 0.7721)
N (0.6066, 0.6066, 0.6066)

As for the space-group type: R3m (160). Its total magnetization is 0.00 μB per cell. Its uncorrected formation energy is -0.705 eV/atom.

---

The following is a DFT calculation (GGA-PBE) of NpTaClO4 after structural relaxation.

a = 6.4771 Å, b = 6.4771 Å, c = 6.9021 Å
α = 106.77°, β = 106.77°, γ = 69.25°
Element x y z (fractional)
Np (0.2276, 0.2276, 0.1443)
Np (0.7724, 0.7724, 0.8557)
Ta (0.3713, 0.3713, 0.7649)
Ta (0.6287, 0.6287, 0.2351)
Cl (0.0044, 0.0044, 0.7642)
Cl (0.9956, 0.9956, 0.2358)
O (0.0807, 0.4889, 0.8259)
O (0.3215, 0.3215, 0.4787)
O (0.4390, 0.4390, 0.1391)
O (0.4889, 0.0807, 0.8259)
O (0.5111, 0.9193, 0.1741)
O (0.5610, 0.5610, 0.8609)
O (0.6785, 0.6785, 0.5213)
O (0.9193, 0.5111, 0.1741)

As for the space-group type: C2/m (12). Its total magnetization is 6.00 μB per cell. Its uncorrected formation energy is -2.631 eV/atom.

---

The following is a DFT calculation (GGA-PBE) of TlZnRh3 after structural relaxation.

a = 4.5841 Å, b = 4.5841 Å, c = 4.5841 Å
α = 90.00°, β = 90.00°, γ = 90.00°
Element x y z (fractional)
Tl (0.0000, 0.0000, 0.0000)
Zn (0.5000, 0.5000, 0.5000)
Rh (0.0000, 0.5000, 0.5000)
Rh (0.5000, 0.0000, 0.5000)
Rh (0.5000, 0.5000, 0.0000)

The value obtained for the formation energy is 0.757 eV per atom. As for the space-group type: Pm-3m (221). Its total magnetization is 1.96 μB per cell.

---

The following is a DFT calculation (GGA-PBE) of Mg2CoRh after structural relaxation.

a = 3.0154 Å, b = 3.0154 Å, c = 7.0683 Å
α = 90.00°, β = 90.00°, γ = 90.00°
Element x y z (fractional)
Mg (0.0000, 0.0000, 0.0000)
Mg (0.5000, 0.5000, 0.3398)
Co (0.5000, 0.5000, 0.7738)
Rh (0.0000, 0.0000, 0.5742)

The value obtained for the formation energy is -0.092 eV per atom. As for the space-group type: P4mm (99). Its total magnetization is 2.15 μB per cell.

---

The following is a DFT calculation (GGA-PBE) of NdDyCuRu after structural relaxation.

a = 4.9369 Å, b = 4.9369 Å, c = 4.9369 Å
α = 60.00°, β = 60.00°, γ = 60.00°
Element x y z (fractional)
Nd (0.0000, 0.0000, 0.0000)
Dy (0.5000, 0.5000, 0.5000)
Cu (0.2500, 0.2500, 0.2500)
Ru (0.7500, 0.7500, 0.7500)

The value obtained for the formation energy is -0.239 eV per atom. As for the space-group type: F-43m (216). Its total magnetization is 0.00 μB per cell.

---

The following is a DFT calculation (GGA-PBE) of SmPu2ScS4 after structural relaxation.

a = 6.7605 Å, b = 3.8953 Å, c = 6.7919 Å
α = 90.00°, β = 109.27°, γ = 90.00°
Element x y z (fractional)
Sm (0.0000, 0.0000, 0.0000)
Pu (0.0000, 0.5000, 0.5000)
Pu (0.5000, 0.0000, 0.5000)
Sc (0.5000, 0.5000, 0.0000)
S (0.2603, 0.5000, 0.2476)
S (0.2647, 0.0000, 0.7608)
S (0.7353, 0.0000, 0.2392)
S (0.7397, 0.5000, 0.7524)

As for the space-group type: P2/m (10). Its total magnetization is 11.34 μB per cell. Its uncorrected formation energy is -1.852 eV/atom.

---

The following is a DFT calculation (GGA-PBE) of TlZnCd2Bi after structural relaxation.

a = 5.1984 Å, b = 5.1984 Å, c = 5.5115 Å
α = 90.00°, β = 90.00°, γ = 90.00°
Element x y z (fractional)
Tl (0.0000, 0.0000, 0.0000)
Zn (0.5000, 0.5000, 0.5000)
Cd (0.0000, 0.5000, 0.5000)
Cd (0.5000, 0.0000, 0.5000)
Bi (0.5000, 0.5000, 0.0000)

The value obtained for the formation energy is 0.209 eV per atom. As for the space-group type: P4/mmm (123). Its total magnetization is 0.00 μB per cell.

---

The following is a DFT calculation (GGA-PBE) of ZrCdOF2 after structural relaxation.

a = 4.2993 Å, b = 4.2993 Å, c = 4.3727 Å
α = 90.00°, β = 90.00°, γ = 90.00°
Element x y z (fractional)
Zr (0.0000, 0.0000, 0.0000)
Cd (0.5000, 0.5000, 0.5000)
O (0.5000, 0.5000, 0.0000)
F (0.0000, 0.5000, 0.5000)
F (0.5000, 0.0000, 0.5000)

As for the space-group type: P4/mmm (123). Its total magnetization is 1.95 μB per cell. Its uncorrected formation energy is -1.112 eV/atom.

---

The following is a DFT calculation (GGA-PBE) of SrLi4Np3O12 after structural relaxation.

a = 7.0281 Å, b = 7.0281 Å, c = 7.0281 Å
α = 106.49°, β = 106.49°, γ = 106.49°
Element x y z (fractional)
Sr (0.0000, 0.0000, 0.0000)
Li (0.0637, 0.5000, 0.9363)
Li (0.5000, 0.5000, 0.5000)
Li (0.5000, 0.9363, 0.0637)
Li (0.9363, 0.0637, 0.5000)
Np (0.0000, 0.5572, 0.4428)
Np (0.4428, 0.0000, 0.5572)
Np (0.5572, 0.4428, 0.0000)
O (0.0369, 0.6484, 0.7501)
O (0.1064, 0.8936, 0.5000)
O (0.2499, 0.3516, 0.9631)
O (0.3344, 0.6656, 0.5000)
O (0.3516, 0.9631, 0.2499)
O (0.5000, 0.1064, 0.8936)
O (0.5000, 0.3344, 0.6656)
O (0.6484, 0.7501, 0.0369)
O (0.6656, 0.5000, 0.3344)
O (0.7501, 0.0369, 0.6484)
O (0.8936, 0.5000, 0.1064)
O (0.9631, 0.2499, 0.3516)

As for the space-group type: R32 (155). Its total magnetization is 3.00 μB per cell. Its uncorrected formation energy is -2.574 eV/atom.